Computed, not measured: crystalline NiIrOF2 at its relaxed geometry at the GGA+U level of DFT.

Lattice parameters (Å, degrees): 4.446 4.446 3.677 90.00 90.00 90.00
Space group P4/mmm (No. 123)
Asymmetric unit:
Ni  0.000  0.000  0.000 [1 per cell]
Ir  0.500  0.500  0.500 [1 per cell]
O  0.500  0.500  0.000 [1 per cell]
F  0.000  0.500  0.500 [2 per cell]

Output
* energy: -4.418 eV per atom